Record 1
Density functional theory data (GGA-PBE) for a relaxed Rb2HgPSe5 crystal.

```
72
Lattice="7.342 0.000 0.000 0.000 18.054 0.000 0.000 0.000 18.054" Properties=species:S:1:pos:R:3 pbc="T T T"
Hg 7.149 7.897 6.687
Se 3.623 14.527 3.549
Se 5.232 13.591 9.693
Se 1.534 13.278 9.350
Rb 3.737 1.616 6.840
Se 1.561 17.387 4.564
Rb 3.853 5.886 11.703
Rb 3.853 12.168 6.351
Rb 3.489 6.351 5.886
P 3.507 16.382 4.850
Se 2.110 8.361 13.591
Rb 3.605 6.840 16.437
Se 5.808 8.704 13.278
Se 5.205 0.323 13.802
Se 2.137 13.802 17.730
P 3.836 13.204 16.382
Rb 7.160 3.141 15.378
Se 1.534 4.776 8.704
Se 7.189 11.319 2.087
Se 5.232 4.463 8.361
P 7.178 4.177 7.355
Se 0.048 12.554 5.478
Rb 0.066 2.187 10.643
Se 2.110 9.693 4.463
Se 5.422 10.245 9.211
Se 5.592 1.218 0.184
Hg 3.865 1.130 2.340
Se 1.561 0.666 13.489
Se 7.294 12.575 12.554
Rb 0.066 15.867 7.410
Rb 3.605 11.214 1.616
Rb 3.737 16.437 11.214
Hg 3.478 15.714 1.130
Se 1.751 17.870 1.218
Se 1.751 0.184 16.836
Hg 0.194 11.367 7.897
Se 3.719 14.505 14.527
Rb 7.276 10.643 15.867
Se 3.825 2.292 11.114
P 3.836 4.850 1.672
Se 3.518 6.940 2.292
Se 7.189 6.735 15.966
Rb 3.489 11.703 12.168
P 7.178 13.877 10.699
Rb 7.160 14.912 2.676
Hg 3.865 16.924 15.714
P 0.165 7.355 13.877
Se 0.153 15.966 11.319
Se 0.153 2.087 6.735
P 0.165 10.699 4.177
Hg 3.478 2.340 16.924
Se 0.048 5.500 12.575
Se 5.592 16.836 17.870
Rb 0.182 15.378 14.912
Rb 7.276 7.410 2.187
Se 3.825 15.761 6.940
Se 1.921 8.843 10.245
Rb 0.182 2.676 3.141
Se 5.205 17.730 4.251
Se 7.294 5.478 5.500
Se 1.921 9.211 7.809
Se 3.623 3.527 14.505
Hg 0.194 6.687 10.157
Hg 7.149 10.157 11.367
Se 5.782 13.489 17.387
P 3.507 1.672 13.204
Se 2.137 4.251 0.323
Se 5.782 4.564 0.666
Se 5.808 9.350 4.776
Se 5.422 7.809 8.843
Se 3.719 3.549 3.527
Se 3.518 11.114 15.761
```

=====

Record 2
Density functional theory data (GGA-PBE) for a relaxed RbHgPSe4 crystal.

```
14
Lattice="-2.687 5.643 2.401 -3.250 -3.956 5.659 8.565 -0.693 4.434" Properties=species:S:1:pos:R:3 pbc="T T T"
Se 4.501 -2.315 5.928
P 3.090 3.071 6.494
Se 6.010 -0.479 3.301
Se 5.027 2.186 6.988
Se -1.874 3.309 6.566
Hg 3.754 0.028 4.748
Rb -0.922 0.267 2.230
Rb 3.550 0.728 10.265
Se -3.382 1.473 9.193
Se 1.963 1.832 4.980
P -0.462 -2.077 6.001
Se 0.665 -0.838 7.514
Se -2.400 -1.192 5.506
Hg -1.126 0.966 7.746
```

=====

Record 3
Density functional theory data (GGA-PBE) for a relaxed Rb2HgP2Se6 crystal.

```
11
Lattice="7.173 0.000 0.000 -3.587 6.626 0.562 0.000 -3.159 7.067" Properties=species:S:1:pos:R:3 pbc="T T T"
Se 0.000 1.610 2.254
Se -1.760 5.093 1.887
Hg 3.587 -1.580 3.533
Se 3.587 1.857 5.375
Se 1.827 -1.626 5.742
Rb 3.587 1.997 1.745
Rb 0.000 1.470 5.883
Se 5.347 -1.626 5.742
P 0.000 -0.254 1.162
Se 1.760 5.093 1.887
P 3.587 3.721 6.467
```

=====

Record 4
Density functional theory data (GGA-PBE) for a relaxed RbSiHgP2 crystal.

```
10
Lattice="-6.018 0.406 -0.005 2.554 -6.945 -0.777 -0.060 -0.792 6.885" Properties=species:S:1:pos:R:3 pbc="T T T"
Hg -0.030 -0.396 3.443
Hg -3.039 -0.193 3.440
P -3.393 -5.475 0.588
Rb -0.241 -3.555 1.206
Si -4.513 0.305 -0.004
Rb -3.282 -3.777 4.897
P -0.130 -1.857 5.515
P -3.101 -1.144 1.089
P -0.422 -6.187 5.014
Si -1.504 0.102 -0.001
```

=====

What DFT total energy values result from the calculations? In sequence: -3.389; -3.326; -3.537; -3.685 eV per atom.